No. 1
First-principles (PBEsol) data for LaTcAu after structural relaxation, as listed in Alexandria.

Properties
**Total DFT energy (no corrections)**: -6.673 eV/atom
**N(E_F)**: 2.700 states/eV/cell
**Volume**: 63.73 Å³/cell
**Energy relative to the elements**: 0.17 eV/atom

Cell and atoms, written as POSCAR:
```
LaTcAu
1.0
-1.6318 -1.1449 -3.0476
3.0938 0.5159 -1.8504
0.6064 -4.1965 3.4275
La Tc Au
1 1 1
Cartesian
0.9120 -3.0761 0.6673
1.0609 -1.4273 -2.2076
0.0955 -0.3221 0.0699
```


No. 2
First-principles (PBEsol) data for LaTc2Au after structural relaxation, as listed in Alexandria.

Properties
**Total DFT energy (no corrections)**: -7.380 eV/atom
**N(E_F)**: 7.058 states/eV/cell
**Volume**: 70.22 Å³/cell
**Energy relative to the elements**: 0.57 eV/atom

Cell and atoms, written as POSCAR:
```
LaTc2Au
1.0
4.6309 0.0000 0.0000
2.3154 4.0105 0.0000
2.3154 1.3368 3.7811
Tc Au La
2 1 1
Cartesian
6.9463 4.0105 2.8358
2.3154 1.3368 0.9453
0.0000 0.0000 0.0000
4.6309 2.6736 1.8906
```


No. 3
First-principles (PBEsol) data for La4TcAu after structural relaxation, as listed in Alexandria.

Properties
**Total DFT energy (no corrections)**: -5.349 eV/atom
**N(E_F)**: 8.945 states/eV/cell
**Volume**: 155.08 Å³/cell
**Energy relative to the elements**: 0.75 eV/atom

Cell and atoms, written as POSCAR:
```
La4TcAu
1.0
-1.6724 -0.1664 5.7916
-4.8821 -3.1374 1.6397
0.6132 -5.0931 3.1704
Tc La Au
1 4 1
Cartesian
-4.4560 -6.2976 7.9513
-2.2318 -3.1542 3.9825
-4.6603 -4.7148 4.7981
-3.0637 -3.2370 6.8633
-1.9268 -5.6877 5.5595
0.0000 0.0000 0.0000
```


No. 4
First-principles (PBEsol) data for LaTcAu2 after structural relaxation, as listed in Alexandria.

Properties
**Total DFT energy (no corrections)**: -6.161 eV/atom
**N(E_F)**: 3.305 states/eV/cell
**Volume**: 76.42 Å³/cell
**Energy relative to the elements**: -0.05 eV/atom

Cell and atoms, written as POSCAR:
```
LaTcAu2
1.0
-2.1317 3.4248 -1.1566
0.8491 -0.8308 -4.0249
-3.6334 -2.3562 -0.2801
Au La Tc
2 1 1
Cartesian
-1.0659 1.7124 -0.5783
0.4245 -0.4154 -2.0124
-2.4580 0.1189 -2.7308
-1.8167 -1.1781 -0.1401
```


Q: Which of these has the lowest volume?
A: LaTcAu


Q: Look up the N(E_F) of the second one.
A: 7.058 states/eV/cell